The following is a DFT calculation (GGA-PBE) of a relaxed structure of TbErSc3.

V ... 272.5 Å³ per cell
Spin magnetization ... 0.000 μB/atom
Energy of formation from the pure elements ... 0.12 eV per formula unit
SG ... P-1 (2)

Cell: 6.3682 6.3594 8.6836 Å, 72.43 72.43 55.51°
Fractional positions:
Tb 0.1399 0.8666 0.7932
Tb 0.2864 0.3298 0.6859
Er 0.7511 0.4690 0.5793
Er 0.6753 0.7274 0.8998
Sc 0.3512 0.0620 0.3809
Sc 0.9505 0.6646 0.1920
Sc 0.5432 0.2615 0.0012
Sc 0.0752 0.1345 0.0982
Sc 0.4759 0.5319 0.2871
Sc 0.8832 0.9350 0.4779



The following is a DFT calculation (GGA-PBE) of a relaxed structure of TbEr15Sc4.

V ... 585.8 Å³ per cell
Spin magnetization ... 0.000 μB/atom
Energy of formation from the pure elements ... 0.78 eV per formula unit
SG ... P4/mmm (123)

Cell: 4.8954 4.8954 24.4434 Å, 90.00 90.00 90.00°
Fractional positions:
Tb 0.0000 0.0000 0.0000
Er 0.5000 0.5000 0.0000
Er 0.5000 0.5000 0.2029
Er 0.5000 0.5000 0.4008
Er 0.5000 0.5000 0.5992
Er 0.5000 0.5000 0.7971
Er 0.5000 0.0000 0.1033
Er 0.5000 0.0000 0.3016
Er 0.5000 0.0000 0.5000
Er 0.5000 0.0000 0.6984
Er 0.5000 0.0000 0.8967
Er 0.0000 0.5000 0.1033
Er 0.0000 0.5000 0.3016
Er 0.0000 0.5000 0.5000
Er 0.0000 0.5000 0.6984
Er 0.0000 0.5000 0.8967
Sc 0.0000 0.0000 0.2023
Sc 0.0000 0.0000 0.4008
Sc 0.0000 0.0000 0.5992
Sc 0.0000 0.0000 0.7977



The following is a DFT calculation (GGA-PBE) of a relaxed structure of Tb3Er2Sc3.

V ... 229.2 Å³ per cell
Spin magnetization ... 0.000 μB/atom
Energy of formation from the pure elements ... 0.22 eV per formula unit
Polymorph energy (0 for the lowest one) ... 0.00 kcal/mol of atoms
SG ... C2/m (12)

Cell: 3.4706 5.9429 11.6143 Å, 75.56 81.41 90.00°
Fractional positions:
Tb 0.6232 0.9649 0.7535
Tb 0.5000 0.5000 0.0000
Tb 0.3768 0.0351 0.2465
Er 0.2528 0.2567 0.4944
Er 0.7472 0.7433 0.5056
Sc 0.1241 0.4600 0.7519
Sc 0.8759 0.5400 0.2481
Sc 0.0000 0.0000 0.0000



The following is a DFT calculation (GGA-PBE) of a relaxed structure of TbEr2Sc3.

V ... 332.6 Å³ per cell
Spin magnetization ... 0.000 μB/atom
Energy of formation from the pure elements ... 0.33 eV per formula unit
SG ... P2_1/m (11)

Cell: 3.4258 5.9359 16.4777 Å, 96.91 90.00 90.00°
Fractional positions:
Tb 0.2500 0.5281 0.8330
Tb 0.7500 0.4719 0.1670
Er 0.2500 0.7501 0.5000
Er 0.7500 0.2499 0.5000
Er 0.7500 0.0273 0.8332
Er 0.2500 0.9727 0.1668
Sc 0.7500 0.6392 0.6665
Sc 0.2500 0.3608 0.3335
Sc 0.7500 0.8615 0.3331
Sc 0.2500 0.1385 0.6669
Sc 0.2500 0.2488 0.9996
Sc 0.7500 0.7512 0.0004



The following is a DFT calculation (GGA-PBE) of a relaxed structure of TbEr2Sc.

V ... 118.4 Å³ per cell
Spin magnetization ... 0.014 μB/atom
Energy of formation from the pure elements ... 0.07 eV per formula unit
Polymorph energy (0 for the lowest one) ... 0.00 kcal/mol of atoms
SG ... Imm2 (44)

Cell: 3.5372 6.5256 6.5256 Å, 55.69 74.28 74.28°
Fractional positions:
Tb 0.2500 0.1723 0.3277
Er 0.0050 0.0755 0.9137
Er 0.4950 0.5863 0.4245
Sc 0.7500 0.6660 0.8340



The following is a DFT calculation (GGA-PBE) of a relaxed structure of Tb12Er3Sc.

V ... 498.6 Å³ per cell
Spin magnetization ... 0.000 μB/atom
Energy of formation from the pure elements ... 0.37 eV per formula unit
SG ... P4/mmm (123)

Cell: 5.0002 5.0002 19.9440 Å, 90.00 90.00 90.00°
Fractional positions:
Tb 0.5000 0.5000 0.0000
Tb 0.5000 0.5000 0.2476
Tb 0.5000 0.5000 0.5000
Tb 0.5000 0.5000 0.7524
Tb 0.5000 0.0000 0.1217
Tb 0.5000 0.0000 0.3739
Tb 0.5000 0.0000 0.6261
Tb 0.5000 0.0000 0.8783
Tb 0.0000 0.5000 0.1217
Tb 0.0000 0.5000 0.3739
Tb 0.0000 0.5000 0.6261
Tb 0.0000 0.5000 0.8783
Er 0.0000 0.0000 0.2481
Er 0.0000 0.0000 0.5000
Er 0.0000 0.0000 0.7519
Sc 0.0000 0.0000 0.0000



The following is a DFT calculation (GGA-PBE) of a relaxed structure of TbEr7Sc3.

V ... 338.1 Å³ per cell
Spin magnetization ... 0.000 μB/atom
Energy of formation from the pure elements ... 2.45 eV per formula unit
Polymorph energy (0 for the lowest one) ... 1.80 kcal/mol of atoms
SG ... P3m1 (156)

Cell: 8.2060 6.8977 6.8977 Å, 120.00 90.00 90.00°
Fractional positions:
Tb 0.4500 0.3333 0.6667
Er 0.1075 0.1680 0.8320
Er 0.1075 0.1680 0.3361
Er 0.1157 0.6667 0.3333
Er 0.4587 0.8320 0.1680
Er 0.4587 0.3360 0.1680
Er 0.4587 0.8320 0.6640
Er 0.1075 0.6639 0.8320
Sc 0.7836 0.5004 0.4996
Sc 0.7836 0.5004 0.0008
Sc 0.7836 0.9992 0.4996



The following is a DFT calculation (GGA-PBE) of a relaxed structure of Tb2Er3Sc7.

V ... 347.9 Å³ per cell
Spin magnetization ... 0.104 μB/atom
Energy of formation from the pure elements ... 3.15 eV per formula unit
Polymorph energy (0 for the lowest one) ... 3.71 kcal/mol of atoms
SG ... Cmmm (65)

Cell: 3.5239 5.2569 18.8648 Å, 90.00 95.36 90.00°
Fractional positions:
Tb 0.3633 0.5000 0.7268
Tb 0.6367 0.5000 0.2732
Er 0.5000 0.5000 0.0000
Er 0.8265 0.0000 0.6531
Er 0.1735 0.0000 0.3469
Sc 0.2837 0.5000 0.5673
Sc 0.7163 0.5000 0.4327
Sc 0.4192 0.0000 0.8385
Sc 0.0000 0.0000 0.0000
Sc 0.5808 0.0000 0.1615
Sc 0.0668 0.5000 0.1333
Sc 0.9332 0.5000 0.8667



The following is a DFT calculation (GGA-PBE) of a relaxed structure of Tb4Er7Sc.

V ... 370.0 Å³ per cell
Spin magnetization ... 0.000 μB/atom
Energy of formation from the pure elements ... 1.22 eV per formula unit
Polymorph energy (0 for the lowest one) ... 0.00 kcal/mol of atoms
SG ... P-1 (2)

Cell: 6.6934 8.5704 8.9843 Å, 83.64 94.53 47.62°
Fractional positions:
Tb 0.5335 0.6502 0.2799
Tb 0.4665 0.3498 0.7201
Tb 0.7842 0.8352 0.6941
Tb 0.2158 0.1648 0.3059
Er 0.7422 0.5026 0.9510
Er 0.2578 0.4974 0.0490
Er 0.9843 0.3222 0.6366
Er 0.0157 0.6778 0.3634
Er 0.2967 0.8121 0.6173
Er 0.5000 0.0000 0.0000
Er 0.7033 0.1879 0.3827
Sc 0.0000 0.0000 0.0000



Repeat the second record exactly.
The following is a DFT calculation (GGA-PBE) of a relaxed structure of TbEr15Sc4.

V ... 585.8 Å³ per cell
Spin magnetization ... 0.000 μB/atom
Energy of formation from the pure elements ... 0.78 eV per formula unit
SG ... P4/mmm (123)

Cell: 4.8954 4.8954 24.4434 Å, 90.00 90.00 90.00°
Fractional positions:
Tb 0.0000 0.0000 0.0000
Er 0.5000 0.5000 0.0000
Er 0.5000 0.5000 0.2029
Er 0.5000 0.5000 0.4008
Er 0.5000 0.5000 0.5992
Er 0.5000 0.5000 0.7971
Er 0.5000 0.0000 0.1033
Er 0.5000 0.0000 0.3016
Er 0.5000 0.0000 0.5000
Er 0.5000 0.0000 0.6984
Er 0.5000 0.0000 0.8967
Er 0.0000 0.5000 0.1033
Er 0.0000 0.5000 0.3016
Er 0.0000 0.5000 0.5000
Er 0.0000 0.5000 0.6984
Er 0.0000 0.5000 0.8967
Sc 0.0000 0.0000 0.2023
Sc 0.0000 0.0000 0.4008
Sc 0.0000 0.0000 0.5992
Sc 0.0000 0.0000 0.7977



Question: Look up the V of the second one.
Answer: 585.8 Å³ per cell



Question: Among the records above, which one has the highest spin magnetization?
Answer: Tb2Er3Sc7